AcGeN | PBE-GGA | optimized geometry

The calculation puts the uncorrected formation energy at -0.816 eV per atom. For the total magnetization, the calculation gives 0.0000 μB/atom.

```
data_AcGeN
_chemical_formula_sum 'Ac4 Ge4 N4'
_space_group_name_H-M_alt 'P n m a'
_space_group_IT_number 62
_cell_length_a 11.080
_cell_length_b 4.339
_cell_length_c 5.636
_cell_angle_alpha 90.00
_cell_angle_beta 90.00
_cell_angle_gamma 90.00
loop_
_space_group_symop_operation_xyz
'x,y,z'
'-x,-y,-z'
'-x+1/2,-y,z+1/2'
'x+1/2,y,-z+1/2'
'x+1/2,-y+1/2,-z+1/2'
'-x+1/2,y+1/2,z+1/2'
'-x,y+1/2,-z'
'x,-y+1/2,z'
loop_
_atom_site_label
_atom_site_fract_x
_atom_site_fract_y
_atom_site_fract_z
Ac1 0.178 0.250 0.125
Ge1 0.029 0.250 0.628
N1 0.204 0.250 0.624
```